{"formula": "Rb3CrCd2F9", "functional": "GGA+U", "state": "optimized geometry", "lattice": [[6.252, 0.000, 0.000], [-3.126, 5.415, 0.000], [0.000, 0.000, 7.668]], "species": ["Rb", "Rb", "Rb", "Cr", "Cd", "Cd", "F", "F", "F", "F", "F", "F", "F", "F", "F"], "fractional_positions": [[0.000, 0.000, 0.000], [0.333, 0.667, 0.672], [0.667, 0.333, 0.328], [0.000, 0.000, 0.500], [0.333, 0.667, 0.177], [0.667, 0.333, 0.823], [0.000, 0.500, 0.000], [0.158, 0.316, 0.345], [0.158, 0.842, 0.345], [0.316, 0.158, 0.655], [0.500, 0.000, 0.000], [0.500, 0.500, 0.000], [0.684, 0.842, 0.345], [0.842, 0.158, 0.655], [0.842, 0.684, 0.655]], "final_energy_ha_per_atom": -0.16305, "vol_a3_per_atom": 17.31}